Tb2Dy3 (PBE-GGA, relaxed); volume = 160 Å³/f.u.; E_tot = -4.477 eV/atom; SG = Ibam; DFT formation energy = 136 meV/atom
1.0
-3.292 7.904 3.073
3.292 -7.904 3.073
3.292 7.904 -3.073
Tb Dy
4 6
Cartesian
0.971 3.030 0.000
4.263 4.874 0.000
-0.971 3.030 3.073
2.321 4.874 3.073
4.053 1.463 0.000
0.000 0.000 1.536
0.761 6.441 0.000
2.531 1.463 3.073
0.000 0.000 4.609
-0.761 6.441 3.073

***

TbDy3 (PBE-GGA, relaxed); volume = 125 Å³/f.u.; energy above the lowest structure with this stoichiometry = 11 meV per atom; E_tot = -4.589 eV/atom; SG = Pm-3m; DFT formation energy = 20 meV/atom
1.0
5.007 0.000 0.000
0.000 5.007 0.000
0.000 0.000 5.007
Tb Dy
1 3
Cartesian
0.000 0.000 0.000
0.000 2.503 2.503
2.503 0.000 2.503
2.503 2.503 0.000

***

TbDy3 (PBE-GGA, relaxed); volume = 128 Å³/f.u.; energy above the lowest structure with this stoichiometry = 0 meV per atom; E_tot = -4.600 eV/atom; SG = Pmm2; DFT formation energy = 9 meV/atom
1.0
3.620 0.000 0.000
0.000 5.621 0.000
0.000 0.000 6.268
Tb Dy
1 3
Cartesian
0.000 0.000 0.000
0.000 2.811 2.092
1.810 0.000 3.136
1.810 2.811 5.226

***

Tb3DyTc (PBE-GGA, relaxed); volume = 140 Å³/f.u.; E_tot = -5.825 eV/atom; SG = Cm; DFT formation energy = -54 meV/atom
1.0
6.045 -1.957 0.000
6.045 1.957 0.000
-4.872 0.000 11.870
Tb Dy Tc
6 2 2
Cartesian
0.000 0.000 0.000
-1.512 0.000 4.444
-1.458 0.000 10.169
3.436 0.000 1.639
6.911 0.000 2.828
5.414 0.000 7.257
1.968 0.000 5.630
2.007 0.000 8.958
-2.643 0.000 7.247
8.049 0.000 0.006

***

TbDy2Tc (PBE-GGA, relaxed); volume = 111 Å³/f.u.; energy above the lowest structure with this stoichiometry = 375 meV per atom; E_tot = -5.773 eV/atom; SG = R-3m; DFT formation energy = 277 meV/atom
1.0
1.707 0.986 10.963
-1.707 0.986 10.963
0.000 -1.971 10.963
Tb Dy Tc
1 2 1
Cartesian
0.000 0.000 0.000
0.000 0.000 3.455
0.000 0.000 29.436
0.000 0.000 16.445

***

Tb2Dy8Tc (PBE-GGA, relaxed); volume = 327 Å³/f.u.; E_tot = -5.109 eV/atom; SG = C2/m; DFT formation energy = 23 meV/atom
1.0
9.280 -2.737 0.000
9.280 2.737 0.000
-0.131 0.000 6.436
Tb Dy Tc
2 8 1
Cartesian
4.367 0.000 2.136
14.061 0.000 4.300
0.690 0.000 1.551
2.818 0.000 5.311
6.419 0.000 5.576
7.841 0.000 2.373
10.588 0.000 4.063
12.010 0.000 0.861
15.611 0.000 1.126
17.739 0.000 4.885
9.280 0.000 0.000

***

- What is the formula in the sixth record?
  Tb2Dy8Tc